Entry 1:
Crystalline LaHo2Pd at its relaxed geometry, computed with GGA-PBE.

calculated formation energy = -44.2 kJ per mole of atoms
volume = 28.79 Å³ per atom
space-group type = No. 62
energy relative to the lowest polymorph listed for this composition = 0.0000 eV/atom

Lattice parameters (Å, degrees): 7.154 9.787 6.579 90.00 90.00 90.00
Atoms (fractional coordinates):
La 0.018 0.250 0.137
La 0.482 0.750 0.637
La 0.518 0.250 0.363
La 0.982 0.750 0.863
Ho 0.177 0.062 0.670
Ho 0.177 0.438 0.670
Ho 0.323 0.562 0.170
Ho 0.323 0.938 0.170
Ho 0.677 0.062 0.830
Ho 0.677 0.438 0.830
Ho 0.823 0.562 0.330
Ho 0.823 0.938 0.330
Pd 0.116 0.750 0.421
Pd 0.384 0.250 0.921
Pd 0.616 0.750 0.079
Pd 0.884 0.250 0.579


Entry 2:
Crystalline LaHoPd at its relaxed geometry, computed with GGA-PBE.

calculated formation energy = -50.1 kJ per mole of atoms
volume = 27.46 Å³ per atom
space-group type = No. 107
energy relative to the lowest polymorph listed for this composition = 0.0581 eV/atom

Lattice parameters (Å, degrees): 6.827 6.827 6.827 149.37 149.37 43.87
Atoms (fractional coordinates):
La 0.000 0.000 0.000
Ho 0.273 0.273 0.000
Pd 0.657 0.657 0.000


Entry 3:
Crystalline LaHoPd at its relaxed geometry, computed with GGA-PBE.

calculated formation energy = -55.7 kJ per mole of atoms
volume = 28.05 Å³ per atom
space-group type = No. 129
energy relative to the lowest polymorph listed for this composition = 0.0000 eV/atom

Lattice parameters (Å, degrees): 4.870 4.870 7.094 90.00 90.00 90.00
Atoms (fractional coordinates):
La 0.250 0.250 0.114
La 0.750 0.750 0.886
Ho 0.250 0.750 0.500
Ho 0.750 0.250 0.500
Pd 0.250 0.250 0.716
Pd 0.750 0.750 0.284


Entry 4:
Crystalline LaHoPd at its relaxed geometry, computed with GGA-PBE.

calculated formation energy = -40.9 kJ per mole of atoms
volume = 29.59 Å³ per atom
space-group type = No. 216
energy relative to the lowest polymorph listed for this composition = 0.1542 eV/atom

Lattice parameters (Å, degrees): 5.007 5.007 5.007 60.00 60.00 60.00
Atoms (fractional coordinates):
La 0.000 0.000 0.000
Ho 0.500 0.500 0.500
Pd 0.250 0.250 0.250


Entry 5:
Crystalline LaHoPd6 at its relaxed geometry, computed with GGA-PBE.

calculated formation energy = -81.1 kJ per mole of atoms
volume = 18.18 Å³ per atom
space-group type = No. 123

Lattice parameters (Å, degrees): 4.189 4.189 8.286 90.00 90.00 90.00
Atoms (fractional coordinates):
La 0.000 0.000 0.000
Ho 0.000 0.000 0.500
Pd 0.000 0.500 0.258
Pd 0.000 0.500 0.742
Pd 0.500 0.000 0.258
Pd 0.500 0.000 0.742
Pd 0.500 0.500 0.000
Pd 0.500 0.500 0.500


Entry 6:
Crystalline La3HoPd12 at its relaxed geometry, computed with GGA-PBE.

calculated formation energy = -79.2 kJ per mole of atoms
volume = 18.55 Å³ per atom
space-group type = No. 123

Lattice parameters (Å, degrees): 4.202 4.202 16.805 90.00 90.00 90.00
Atoms (fractional coordinates):
La 0.000 0.000 0.000
La 0.000 0.000 0.255
La 0.000 0.000 0.745
Ho 0.000 0.000 0.500
Pd 0.000 0.500 0.127
Pd 0.000 0.500 0.381
Pd 0.000 0.500 0.619
Pd 0.000 0.500 0.873
Pd 0.500 0.000 0.127
Pd 0.500 0.000 0.381
Pd 0.500 0.000 0.619
Pd 0.500 0.000 0.873
Pd 0.500 0.500 0.000
Pd 0.500 0.500 0.253
Pd 0.500 0.500 0.500
Pd 0.500 0.500 0.747


DFT total energy (computed, eV/atom): -5.2766; -5.4191; -5.4771; -5.3229; -5.9228; -5.9252